a | VASP calculation (PBE) on a geometry-optimized SrBiSb3 structure.

Cell: 5.9348 5.9348 5.9348 Å, 90.00 90.00 90.00°
Fractional coordinates of all 5 atoms:
1 Sb 0.5000 0.0000 0.0000
2 Sb 0.0000 0.0000 0.5000
3 Sr 0.0000 0.0000 0.0000
4 Sb 0.0000 0.5000 0.0000
5 Bi 0.5000 0.5000 0.5000

space group = No. 221
size of the total moment = 0.0 μB per formula unit

=====

b | VASP calculation (PBE) on a geometry-optimized SrBiSb3 structure.

Cell: 5.8527 5.8527 5.8527 Å, 90.00 90.00 90.00°
Fractional coordinates of all 5 atoms:
1 Bi 0.0000 0.0000 0.0000
2 Sb 0.0000 0.5000 0.0000
3 Sb 0.5000 0.0000 0.0000
4 Sb 0.0000 0.0000 0.5000
5 Sr 0.5000 0.5000 0.5000

space group = No. 221
size of the total moment = 0.0 μB per formula unit

=====

Preferred: b; penalty for the next structure: 54.9 kJ/mol of atoms.

=====

a | VASP calculation (PBE) on a geometry-optimized SrBiSb2 structure.

Cell: 9.0494 9.0494 7.2049 Å, 51.10 51.10 90.00°
Fractional coordinates of all 8 atoms:
1 Sb 0.8750 0.8925 0.7500
2 Sr 0.2500 0.7500 0.5000
3 Sb 0.6425 0.1250 0.2500
4 Sr 0.5000 0.5000 0.0000
5 Sb 0.1075 0.6250 0.2500
6 Bi 0.7500 0.2500 0.5000
7 Bi 0.0000 0.0000 0.0000
8 Sb 0.3750 0.3575 0.7500

space group = No. 122
size of the total moment = 0.0 μB per formula unit

=====

b | VASP calculation (PBE) on a geometry-optimized SrBiSb2 structure.

Cell: 4.8546 5.0109 5.0109 Å, 90.00 90.00 90.00°
Fractional coordinates of all 4 atoms:
1 Sb 0.0000 0.5000 0.0000
2 Bi 0.5000 0.5000 0.5000
3 Sr 0.5000 0.0000 0.0000
4 Sb 0.0000 0.0000 0.5000

space group = No. 123
size of the total moment = 0.0 μB per formula unit

=====

Preferred: b; penalty for the next structure: 8.7 kJ/mol of atoms.

=====

a | VASP calculation (PBE) on a geometry-optimized SrBiSbTe2 structure.

Cell: 5.9925 5.9925 5.7604 Å, 90.00 90.00 90.00°
Each line ends with the local moment (μB).
Fractional coordinates of all 5 atoms:
1 Bi 0.0000 0.0000 0.0000  0.00
2 Sr 0.5000 0.5000 0.5000  0.01
3 Te 0.0000 0.5000 0.0000  0.04
4 Te 0.5000 0.0000 0.0000  0.04
5 Sb 0.0000 0.0000 0.5000  0.14

space group = No. 123
size of the total moment = 0.5 μB per formula unit

=====

b | VASP calculation (PBE) on a geometry-optimized SrBiSbTe2 structure.

Cell: 5.9918 6.1879 5.9918 Å, 90.00 90.00 90.00°
Fractional coordinates of all 5 atoms:
1 Te 0.0000 0.0000 0.5000
2 Bi 0.0000 0.5000 0.0000
3 Sb 0.5000 0.5000 0.5000
4 Te 0.5000 0.0000 0.0000
5 Sr 0.0000 0.0000 0.0000

space group = No. 123
size of the total moment = 0.0 μB per formula unit

=====

c | VASP calculation (PBE) on a geometry-optimized SrBiSbTe2 structure.

Cell: 6.0090 6.0090 6.0295 Å, 90.00 90.00 90.00°
Fractional coordinates of all 5 atoms:
1 Te 0.5000 0.0000 0.0000
2 Sb 0.0000 0.0000 0.5000
3 Te 0.0000 0.5000 0.0000
4 Bi 0.5000 0.5000 0.5000
5 Sr 0.0000 0.0000 0.0000

space group = No. 123
size of the total moment = 0.0 μB per formula unit

=====

Preferred: a; penalty for the next structure: 56.8 kJ/mol of atoms.

=====

a | VASP calculation (PBE) on a geometry-optimized SrTlBiSb structure.

Cell: 5.6722 5.6722 5.6722 Å, 60.00 60.00 60.00°
Fractional coordinates of all 4 atoms:
1 Tl 0.0000 0.0000 0.0000
2 Bi 0.2500 0.2500 0.2500
3 Sb 0.5000 0.5000 0.5000
4 Sr 0.7500 0.7500 0.7500

space group = No. 216
size of the total moment = 0.0 μB per formula unit

=====

b | VASP calculation (PBE) on a geometry-optimized SrTlBiSb structure.

Cell: 4.9489 5.0520 5.0273 Å, 90.00 90.00 90.00°
Fractional coordinates of all 4 atoms:
1 Sb 0.0000 0.5000 0.5000
2 Bi 0.5000 0.0000 0.5000
3 Tl 0.0000 0.0000 0.0000
4 Sr 0.5000 0.5000 0.0000

space group = No. 47
size of the total moment = 0.0 μB per formula unit

=====

Preferred: b; penalty for the next structure: 14.4 kJ/mol of atoms.

=====

a | VASP calculation (PBE) on a geometry-optimized TaBi3Sb structure.

Cell: 5.5030 5.5030 5.5030 Å, 90.00 90.00 90.00°
Fractional coordinates of all 5 atoms:
1 Sb 0.5000 0.5000 0.5000
2 Ta 0.0000 0.0000 0.0000
3 Bi 0.0000 0.5000 0.0000
4 Bi 0.5000 0.0000 0.0000
5 Bi 0.0000 0.0000 0.5000

space group = No. 221
size of the total moment = 0.1 μB per formula unit

=====

b | VASP calculation (PBE) on a geometry-optimized TaBi3Sb structure.

Cell: 5.6686 5.6686 5.6686 Å, 90.00 90.00 90.00°
Each line ends with the local moment (μB).
Fractional coordinates of all 5 atoms:
1 Bi 0.5000 0.0000 0.0000  0.04
2 Bi 0.0000 0.0000 0.5000  0.02
3 Ta 0.5000 0.5000 0.5000  -0.07
4 Bi 0.0000 0.5000 0.0000  0.04
5 Sb 0.0000 0.0000 0.0000  0.00

space group = No. 221
size of the total moment = 0.1 μB per formula unit

=====

Preferred: a; penalty for the next structure: 98.5 kJ/mol of atoms.

=====

a | VASP calculation (PBE) on a geometry-optimized Tb2BiSb structure.

Cell: 7.7068 7.6986 9.9342 Å, 104.98 105.01 109.42°
Fractional coordinates of all 16 atoms:
1 Sb 0.8116 0.0616 0.1232
2 Tb 0.0602 0.8148 0.1250
3 Bi 0.5615 0.8115 0.6230
4 Tb 0.3042 0.0588 0.6251
5 Bi 0.4385 0.1885 0.3770
6 Tb 0.8209 0.5663 0.6251
7 Bi 0.6866 0.4366 0.8731
8 Sb 0.1884 0.9384 0.8768
9 Tb 0.4352 0.6898 0.8750
10 Sb 0.0634 0.3134 0.6267
11 Tb 0.5648 0.3102 0.1250
12 Bi 0.3134 0.5634 0.1269
13 Tb 0.1791 0.4337 0.3749
14 Sb 0.9366 0.6866 0.3733
15 Tb 0.6958 0.9412 0.3749
16 Tb 0.9398 0.1852 0.8750

space group = No. 15
size of the total moment = 0.0 μB per formula unit

=====

b | VASP calculation (PBE) on a geometry-optimized Tb2BiSb structure.

Cell: 4.4055 4.4055 7.9845 Å, 73.99 73.99 60.00°
Fractional coordinates of all 4 atoms:
1 Tb 0.0831 0.0831 0.7506
2 Tb 0.2502 0.2502 0.2495
3 Sb 0.4987 0.4987 0.5040
4 Bi 0.6681 0.6681 0.9958

space group = No. 160
size of the total moment = 0.0 μB per formula unit

=====

Preferred: a; penalty for the next structure: 11.4 kJ/mol of atoms.

=====

a | VASP calculation (PBE) on a geometry-optimized TbBiSb2 structure.

Cell: 4.1291 5.2407 5.2407 Å, 90.00 90.00 90.00°
Fractional coordinates of all 4 atoms:
1 Sb 0.0000 0.5000 0.0000
2 Sb 0.0000 0.0000 0.5000
3 Tb 0.5000 0.0000 0.0000
4 Bi 0.5000 0.5000 0.5000

space group = No. 123
size of the total moment = 0.0 μB per formula unit

=====

b | VASP calculation (PBE) on a geometry-optimized TbBiSb2 structure.

Cell: 4.1501 4.1501 6.5891 Å, 90.00 90.00 90.00°
Fractional coordinates of all 4 atoms:
1 Bi 0.5000 0.5000 0.0000
2 Tb 0.5000 0.5000 0.5000
3 Sb 0.0000 0.0000 0.7314
4 Sb 0.0000 0.0000 0.2686

space group = No. 123
size of the total moment = 0.0 μB per formula unit

=====

Preferred: a; penalty for the next structure: 1.2 kJ/mol of atoms.

=====

a | VASP calculation (PBE) on a geometry-optimized Tb4Bi2Sb structure.

Cell: 8.1076 8.1076 8.1076 Å, 109.69 109.03 109.69°
Fractional coordinates of all 14 atoms:
1 Bi 0.3750 0.8710 0.7460
2 Tb 0.4792 0.1094 0.2261
3 Bi 0.2540 0.6290 0.1250
4 Tb 0.2708 0.2469 0.8802
5 Tb 0.1198 0.3906 0.3667
6 Sb 0.7500 0.5000 0.2500
7 Tb 0.9761 0.6094 0.7292
8 Tb 0.1167 0.8906 0.3698
9 Tb 0.6333 0.7531 0.0239
10 Tb 0.6302 0.7469 0.5208
11 Bi 0.4960 0.3710 0.6250
12 Bi 0.8750 0.1290 0.5040
13 Sb 0.0000 0.0000 0.0000
14 Tb 0.7739 0.2531 0.8833

space group = No. 122
size of the total moment = 0.0 μB per formula unit

=====

b | VASP calculation (PBE) on a geometry-optimized Tb4Bi2Sb structure.

Cell: 8.3952 8.3953 8.3878 Å, 108.95 108.97 110.53°
Each line ends with the local moment (μB).
Fractional coordinates of all 14 atoms:
1 Bi 0.6253 0.3750 0.7503  0.00
2 Bi 0.6250 0.3745 0.2495  0.00
3 Tb 0.3091 0.1183 0.8078  0.08
4 Bi 0.1250 0.3755 0.7505  0.00
5 Sb 0.2500 0.7500 0.5000  -0.01
6 Tb 0.3106 0.5013 0.1922  0.08
7 Tb 0.3683 0.0597 0.3085  0.08
8 Bi 0.6248 0.8750 0.2497  0.00
9 Tb 0.4988 0.6897 0.8080  0.08
10 Tb 0.9401 0.6317 0.6913  0.08
11 Sb 0.0000 0.0000 0.0000  -0.01
12 Tb 0.9404 0.2488 0.3087  0.08
13 Tb 0.7511 0.0597 0.6914  0.08
14 Tb 0.8816 0.6908 0.1920  0.08

space group = No. 22
size of the total moment = 0.5 μB per formula unit

=====

Preferred: a; penalty for the next structure: 19.3 kJ/mol of atoms.

=====

a | VASP calculation (PBE) on a geometry-optimized TbThBiSb structure.

Cell: 4.5039 4.5039 7.7782 Å, 73.17 73.17 60.00°
Fractional coordinates of all 4 atoms:
1 Sb 0.1969 0.1969 0.4094
2 Th 0.4468 0.4468 0.6595
3 Bi 0.6915 0.6915 0.9254
4 Tb 0.9412 0.9412 0.1764

space group = No. 160
size of the total moment = 0.0 μB per formula unit

=====

b | VASP calculation (PBE) on a geometry-optimized TbThBiSb structure.

Cell: 5.4828 5.4828 5.4828 Å, 60.00 60.00 60.00°
Fractional coordinates of all 4 atoms:
1 Sb 0.0000 0.0000 0.0000
2 Th 0.7500 0.7500 0.7500
3 Bi 0.5000 0.5000 0.5000
4 Tb 0.2500 0.2500 0.2500

space group = No. 216
size of the total moment = 0.0 μB per formula unit

=====

Preferred: a; penalty for the next structure: 19.8 kJ/mol of atoms.

=====

a | VASP calculation (PBE) on a geometry-optimized Tc2BiSb structure.

Cell: 6.0915 6.0915 7.4086 Å, 65.73 65.73 90.00°
Fractional coordinates of all 8 atoms:
1 Tc 0.3750 0.3874 0.7500
2 Tc 0.6126 0.1250 0.2500
3 Tc 0.8750 0.8626 0.7500
4 Sb 0.2500 0.7500 0.5000
5 Bi 0.0000 0.0000 0.0000
6 Sb 0.5000 0.5000 0.0000
7 Bi 0.7500 0.2500 0.5000
8 Tc 0.1374 0.6250 0.2500

space group = No. 122
size of the total moment = 0.0 μB per formula unit

=====

b | VASP calculation (PBE) on a geometry-optimized Tc2BiSb structure.

Cell: 4.6973 4.6973 4.6973 Å, 60.00 60.00 60.00°
Fractional coordinates of all 4 atoms:
1 Tc 0.2500 0.2500 0.2500
2 Sb 0.0000 0.0000 0.0000
3 Tc 0.7500 0.7500 0.7500
4 Bi 0.5000 0.5000 0.5000

space group = No. 225
size of the total moment = 0.0 μB per formula unit

=====

Preferred: b; penalty for the next structure: 71.5 kJ/mol of atoms.

=====

a | VASP calculation (PBE) on a geometry-optimized Bi2SbTe2 structure.

Cell: 8.8771 8.8771 4.1221 Å, 90.00 90.00 90.00°
Fractional coordinates of all 10 atoms:
1 Bi 0.1803 0.3197 0.0000
2 Bi 0.6803 0.1803 0.0000
3 Te 0.6427 0.8573 0.5000
4 Sb 0.0000 0.0000 0.0000
5 Sb 0.5000 0.5000 0.0000
6 Te 0.8573 0.3573 0.5000
7 Bi 0.3197 0.8197 0.0000
8 Te 0.3573 0.1427 0.5000
9 Te 0.1427 0.6427 0.5000
10 Bi 0.8197 0.6803 0.0000

space group = No. 127
size of the total moment = 0.0 μB per formula unit

=====

b | VASP calculation (PBE) on a geometry-optimized Bi2SbTe2 structure.

Cell: 4.4323 6.5802 12.8073 Å, 107.22 90.00 90.00°
Fractional coordinates of all 10 atoms:
1 Te 0.2500 0.4041 0.7825
2 Te 0.7500 0.5959 0.2175
3 Sb 0.7500 0.8223 0.9456
4 Bi 0.7500 0.0812 0.2067
5 Bi 0.7500 0.3088 0.6040
6 Bi 0.2500 0.6912 0.3960
7 Te 0.7500 0.8063 0.5906
8 Sb 0.2500 0.1777 0.0544
9 Te 0.2500 0.1937 0.4094
10 Bi 0.2500 0.9188 0.7933

space group = No. 11
size of the total moment = 0.0 μB per formula unit

=====

Preferred: b; penalty for the next structure: 11.8 kJ/mol of atoms.

=====

a | VASP calculation (PBE) on a geometry-optimized BiSbTe2 structure.

Cell: 4.1740 4.1740 8.8626 Å, 76.38 76.38 60.00°
Fractional coordinates of all 4 atoms:
1 Te 0.0790 0.0790 0.7629
2 Te 0.2545 0.2545 0.2365
3 Sb 0.6676 0.6676 0.9971
4 Bi 0.4988 0.4988 0.5036

space group = No. 160
size of the total moment = 0.0 μB per formula unit

=====

b | VASP calculation (PBE) on a geometry-optimized BiSbTe2 structure.

Cell: 4.3717 4.3717 25.7753 Å, 90.00 90.00 120.00°
Fractional coordinates of all 12 atoms:
1 Te 0.0000 0.0000 0.0598
2 Te 0.6667 0.3333 0.2111
3 Sb 0.3333 0.6667 0.2884
4 Te 0.0000 0.0000 0.3542
5 Te 0.6667 0.3333 0.9397
6 Te 0.0000 0.0000 0.7894
7 Bi 0.3333 0.6667 0.8713
8 Bi 0.3333 0.6667 0.1279
9 Bi 0.6667 0.3333 0.4689
10 Sb 0.0000 0.0000 0.5328
11 Sb 0.3333 0.6667 0.7110
12 Te 0.6667 0.3333 0.6456

space group = No. 156
size of the total moment = 0.0 μB per formula unit

=====

Preferred: b; penalty for the next structure: 13.5 kJ/mol of atoms.